a) Compound: BiWS2N
Source: the Alexandria database
Functional: PBE
Structure: relaxed

## Properties
Crystal system = tetragonal
V = 18.54 Å³ per atom
Total moment = 0.000 μB per formula unit
Space-group type = No. 123

abc: 4.9179 4.9179 3.8319
angles: 90.00 90.00 90.00
Sites, in units of the cell vectors:
Bi 0.0000 0.0000 0.0000
W 0.5000 0.5000 0.5000
S 0.0000 0.5000 0.5000
S 0.5000 0.0000 0.5000
N 0.5000 0.5000 0.0000

=====

b) Compound: BiWS2N
Source: the Alexandria database
Functional: PBE
Structure: relaxed

## Properties
Crystal system = tetragonal
V = 22.46 Å³ per atom
Total moment = 3.071 μB per formula unit
Space-group type = No. 123

abc: 5.1871 5.1871 4.1744
angles: 90.00 90.00 90.00
Sites, in units of the cell vectors:
Bi 0.0000 0.0000 0.0000
W 0.5000 0.5000 0.5000
S 0.0000 0.5000 0.0000
S 0.5000 0.0000 0.0000
N 0.0000 0.0000 0.5000

=====

The least stable of them is b).

=====

a) Compound: BiWSN2
Source: the Alexandria database
Functional: PBE
Structure: relaxed

## Properties
Crystal system = tetragonal
V = 18.72 Å³ per atom
Total moment = 2.498 μB per formula unit
Space-group type = No. 123

abc: 4.2261 4.2261 5.2421
angles: 90.00 90.00 90.00
Sites, in units of the cell vectors:
Bi 0.0000 0.0000 0.0000
W 0.5000 0.5000 0.5000
S 0.0000 0.0000 0.5000
N 0.0000 0.5000 0.0000
N 0.5000 0.0000 0.0000

=====

b) Compound: BiWSN2
Source: the Alexandria database
Functional: PBE
Structure: relaxed

## Properties
Crystal system = tetragonal
V = 15.84 Å³ per atom
Total moment = 0.183 μB per formula unit
Space-group type = No. 123

abc: 4.0185 4.0185 4.9037
angles: 90.00 90.00 90.00
Sites, in units of the cell vectors:
Bi 0.0000 0.0000 0.0000
W 0.5000 0.5000 0.5000
S 0.5000 0.5000 0.0000
N 0.0000 0.5000 0.5000
N 0.5000 0.0000 0.5000

=====

The least stable of them is a).

=====

a) Compound: ZnBiSN2
Source: the Alexandria database
Functional: PBE
Structure: relaxed

## Properties
Crystal system = tetragonal
V = 29.31 Å³ per atom
Total moment = 1.380 μB per formula unit
Space-group type = No. 123

abc: 4.1520 4.1520 8.5010
angles: 90.00 90.00 90.00
Sites, in units of the cell vectors:
Zn 0.0000 0.0000 0.0000
Bi 0.0000 0.0000 0.5000
S 0.5000 0.5000 0.0000
N 0.0000 0.5000 0.5000
N 0.5000 0.0000 0.5000

=====

b) Compound: ZnBiSN2
Source: the Alexandria database
Functional: PBE
Structure: relaxed

## Properties
Crystal system = tetragonal
V = 16.21 Å³ per atom
Total moment = 2.466 μB per formula unit
Space-group type = No. 123

abc: 4.0510 4.0510 4.9379
angles: 90.00 90.00 90.00
Sites, in units of the cell vectors:
Zn 0.0000 0.0000 0.0000
Bi 0.5000 0.5000 0.5000
S 0.0000 0.0000 0.5000
N 0.0000 0.5000 0.0000
N 0.5000 0.0000 0.0000

=====

c) Compound: ZnBiSN2
Source: the Alexandria database
Functional: PBE
Structure: relaxed

## Properties
Crystal system = tetragonal
V = 20.46 Å³ per atom
Total moment = 1.832 μB per formula unit
Space-group type = No. 123

abc: 4.2493 4.2493 5.6662
angles: 90.00 90.00 90.00
Sites, in units of the cell vectors:
Zn 0.0000 0.0000 0.0000
Bi 0.5000 0.5000 0.5000
S 0.5000 0.5000 0.0000
N 0.0000 0.5000 0.5000
N 0.5000 0.0000 0.5000

=====

The least stable of them is a).

=====

a) Compound: ZnBiS2N
Source: the Alexandria database
Functional: PBE
Structure: relaxed

## Properties
Crystal system = tetragonal
V = 24.30 Å³ per atom
Total moment = 1.406 μB per formula unit
Space-group type = No. 123

abc: 5.2873 5.2873 4.3470
angles: 90.00 90.00 90.00
Sites, in units of the cell vectors:
Zn 0.0000 0.0000 0.0000
Bi 0.5000 0.5000 0.5000
S 0.0000 0.5000 0.5000
S 0.5000 0.0000 0.5000
N 0.5000 0.5000 0.0000

=====

b) Compound: ZnBiS2N
Source: the Alexandria database
Functional: PBE
Structure: relaxed

## Properties
Crystal system = tetragonal
V = 18.71 Å³ per atom
Total moment = 1.900 μB per formula unit
Space-group type = No. 123

abc: 4.9503 4.9503 3.8179
angles: 90.00 90.00 90.00
Sites, in units of the cell vectors:
Zn 0.0000 0.0000 0.0000
Bi 0.5000 0.5000 0.5000
S 0.0000 0.5000 0.0000
S 0.5000 0.0000 0.0000
N 0.0000 0.0000 0.5000

=====

The least stable of them is a).

=====

a) Compound: ZrBiS2N
Source: the Alexandria database
Functional: PBE
Structure: relaxed

## Properties
Crystal system = tetragonal
V = 21.32 Å³ per atom
Total moment = 0.003 μB per formula unit
Space-group type = No. 123

abc: 5.1446 5.1446 4.0269
angles: 90.00 90.00 90.00
Sites, in units of the cell vectors:
Zr 0.0000 0.0000 0.0000
Bi 0.5000 0.5000 0.5000
S 0.0000 0.5000 0.0000
S 0.5000 0.0000 0.0000
N 0.0000 0.0000 0.5000

=====

b) Compound: ZrBiS2N
Source: the Alexandria database
Functional: PBE
Structure: relaxed

## Properties
Crystal system = tetragonal
V = 22.34 Å³ per atom
Total moment = 0.984 μB per formula unit
Space-group type = No. 123

abc: 5.1729 5.1729 4.1742
angles: 90.00 90.00 90.00
Sites, in units of the cell vectors:
Zr 0.0000 0.0000 0.0000
Bi 0.5000 0.5000 0.5000
S 0.0000 0.5000 0.5000
S 0.5000 0.0000 0.5000
N 0.5000 0.5000 0.0000

=====

The least stable of them is b).

=====

a) Compound: BiSbN2
Source: the Alexandria database
Functional: PBE
Structure: relaxed

## Properties
Crystal system = trigonal
V = 18.42 Å³ per atom
Total moment = 0.000 μB per formula unit
Space-group type = No. 166

abc: 7.1335 7.1335 7.1335
angles: 28.63 28.63 28.63
Sites, in units of the cell vectors:
Bi 0.0000 0.0000 0.0000
Sb 0.5000 0.5000 0.5000
N 0.3947 0.3947 0.3947
N 0.6053 0.6053 0.6053

=====

b) Compound: BiSbN2
Source: the Alexandria database
Functional: PBE
Structure: relaxed

## Properties
Crystal system = cubic
V = 15.29 Å³ per atom
Total moment = 0.000 μB per formula unit
Space-group type = No. 225

abc: 4.4225 4.4225 4.4225
angles: 60.00 60.00 60.00
Sites, in units of the cell vectors:
Bi 0.0000 0.0000 0.0000
Sb 0.5000 0.5000 0.5000
N 0.2500 0.2500 0.2500
N 0.7500 0.7500 0.7500

=====

The least stable of them is b).